1) Computed, not measured: a relaxed LaDy3Ho7 crystal at the PBE level of DFT. Values from VASP.

theoretical density = 8260 kg/m³

Geometry as Quantum ESPRESSO input:
```
&SYSTEM
  ibrav = 0, nat = 11, ntyp = 3
/
ATOMIC_SPECIES
La 138.91 La.upf
Dy 162.50 Dy.upf
Ho 164.93 Ho.upf
ATOMIC_POSITIONS crystal
La 0.000 0.000 0.000
Dy 0.276 0.500 0.495
Dy 0.500 0.000 0.000
Dy 0.724 0.500 0.505
Ho 0.000 0.000 0.500
Ho 0.148 0.500 0.789
Ho 0.326 0.500 0.142
Ho 0.428 0.000 0.332
Ho 0.572 0.000 0.668
Ho 0.674 0.500 0.858
Ho 0.852 0.500 0.211
CELL_PARAMETERS angstrom
6.933 0.000 0.000
0.000 5.540 0.000
-3.222 0.000 9.321
```



2) Computed, not measured: a relaxed LaDy3Ho7 crystal at the PBE level of DFT. Values from VASP.

theoretical density = 8190 kg/m³

Geometry as Quantum ESPRESSO input:
```
&SYSTEM
  ibrav = 0, nat = 11, ntyp = 3
/
ATOMIC_SPECIES
La 138.91 La.upf
Dy 162.50 Dy.upf
Ho 164.93 Ho.upf
ATOMIC_POSITIONS crystal
La 0.000 0.000 0.000
Dy 0.293 0.793 0.500
Dy 0.500 0.500 0.000
Dy 0.707 0.207 0.500
Ho 0.000 0.500 0.500
Ho 0.097 0.308 0.789
Ho 0.295 0.000 0.295
Ho 0.481 0.692 0.789
Ho 0.519 0.308 0.211
Ho 0.705 0.000 0.705
Ho 0.903 0.692 0.211
CELL_PARAMETERS angstrom
-2.898 5.564 5.598
2.898 -5.564 5.598
2.898 5.564 -5.598
```



Result of the stability comparison: 1) is the most stable of them.



1) Computed, not measured: a relaxed La3Dy4Ho4 crystal at the PBE level of DFT. Values from VASP.

theoretical density = 7718 kg/m³

Geometry as Quantum ESPRESSO input:
```
&SYSTEM
  ibrav = 0, nat = 11, ntyp = 3
/
ATOMIC_SPECIES
La 138.91 La.upf
Dy 162.50 Dy.upf
Ho 164.93 Ho.upf
ATOMIC_POSITIONS crystal
La 0.000 0.000 0.000
La 0.293 0.152 0.152
La 0.707 0.152 0.152
Dy 0.000 0.302 0.302
Dy 0.296 0.850 0.850
Dy 0.500 0.364 0.364
Dy 0.704 0.850 0.850
Ho 0.000 0.699 0.699
Ho 0.216 0.496 0.496
Ho 0.500 0.636 0.636
Ho 0.784 0.496 0.496
CELL_PARAMETERS angstrom
10.635 0.000 0.000
0.000 2.877 6.070
0.000 -2.877 6.070
```



2) Computed, not measured: a relaxed La3Dy4Ho4 crystal at the PBE level of DFT. Values from VASP.

theoretical density = 7388 kg/m³

Geometry as Quantum ESPRESSO input:
```
&SYSTEM
  ibrav = 0, nat = 11, ntyp = 3
/
ATOMIC_SPECIES
La 138.91 La.upf
Dy 162.50 Dy.upf
Ho 164.93 Ho.upf
ATOMIC_POSITIONS crystal
La 0.000 0.000 0.000
La 0.383 0.883 0.500
La 0.617 0.117 0.500
Dy 0.004 0.321 0.682
Dy 0.361 0.679 0.682
Dy 0.639 0.321 0.318
Dy 0.996 0.679 0.318
Ho 0.252 0.252 0.000
Ho 0.332 0.500 0.832
Ho 0.668 0.500 0.168
Ho 0.748 0.748 0.000
CELL_PARAMETERS angstrom
-2.525 4.797 8.009
2.525 -4.797 8.009
2.525 4.797 -8.009
```



Result of the stability comparison: 1) is the most stable of them.



1) Computed, not measured: a relaxed LaDy2Ho6 crystal at the PBE level of DFT. Values from VASP.

theoretical density = 8160 kg/m³

Geometry as Quantum ESPRESSO input:
```
&SYSTEM
  ibrav = 0, nat = 9, ntyp = 3
/
ATOMIC_SPECIES
La 138.91 La.upf
Dy 162.50 Dy.upf
Ho 164.93 Ho.upf
ATOMIC_POSITIONS crystal
La 0.000 0.000 0.000
Dy 0.262 0.262 0.262
Dy 0.439 0.439 0.439
Ho 0.295 0.731 0.731
Ho 0.466 0.943 0.943
Ho 0.731 0.295 0.731
Ho 0.731 0.731 0.295
Ho 0.943 0.466 0.943
Ho 0.943 0.943 0.466
CELL_PARAMETERS angstrom
3.665 2.116 6.355
-3.665 2.116 6.355
0.000 -4.232 6.355
```



2) Computed, not measured: a relaxed LaDy2Ho6 crystal at the PBE level of DFT. Values from VASP.

theoretical density = 8448 kg/m³

Geometry as Quantum ESPRESSO input:
```
&SYSTEM
  ibrav = 0, nat = 9, ntyp = 3
/
ATOMIC_SPECIES
La 138.91 La.upf
Dy 162.50 Dy.upf
Ho 164.93 Ho.upf
ATOMIC_POSITIONS crystal
La 0.000 0.000 0.000
Dy 0.333 0.333 0.001
Dy 0.667 0.667 0.999
Ho 0.113 0.113 0.499
Ho 0.223 0.223 0.500
Ho 0.443 0.443 0.500
Ho 0.557 0.557 0.500
Ho 0.777 0.777 0.500
Ho 0.887 0.887 0.501
CELL_PARAMETERS angstrom
14.568 -2.814 0.000
14.568 2.814 0.000
-0.002 0.000 3.485
```



Result of the stability comparison: 2) is the most stable of them.



1) Computed, not measured: a relaxed La7Dy2Ho crystal at the PBE level of DFT. Values from VASP.

theoretical density = 5738 kg/m³

Geometry as Quantum ESPRESSO input:
```
&SYSTEM
  ibrav = 0, nat = 10, ntyp = 3
/
ATOMIC_SPECIES
La 138.91 La.upf
Dy 162.50 Dy.upf
Ho 164.93 Ho.upf
ATOMIC_POSITIONS crystal
La 0.000 0.000 0.000
La 0.206 0.431 0.000
La 0.271 0.729 0.500
La 0.431 0.206 0.000
La 0.569 0.794 0.000
La 0.729 0.271 0.500
La 0.794 0.569 0.000
Dy 0.206 0.794 0.000
Dy 0.794 0.206 0.000
Ho 0.500 0.500 0.500
CELL_PARAMETERS angstrom
4.431 -8.287 0.000
4.431 8.287 0.000
0.000 0.000 5.762
```



2) Computed, not measured: a relaxed La7Dy2Ho crystal at the PBE level of DFT. Values from VASP.

theoretical density = 6566 kg/m³

Geometry as Quantum ESPRESSO input:
```
&SYSTEM
  ibrav = 0, nat = 10, ntyp = 3
/
ATOMIC_SPECIES
La 138.91 La.upf
Dy 162.50 Dy.upf
Ho 164.93 Ho.upf
ATOMIC_POSITIONS crystal
La 0.000 0.000 0.000
La 0.116 0.375 0.000
La 0.181 0.819 0.500
La 0.375 0.116 0.000
La 0.625 0.884 0.000
La 0.819 0.181 0.500
La 0.884 0.625 0.000
Dy 0.335 0.665 0.000
Dy 0.665 0.335 0.000
Ho 0.500 0.500 0.500
CELL_PARAMETERS angstrom
6.107 -8.544 0.000
6.107 8.544 0.000
0.000 0.000 3.544
```



Result of the stability comparison: 2) is the most stable of them.



1) Computed, not measured: a relaxed LaDy5Ho crystal at the PBE level of DFT. Values from VASP.

theoretical density = 6247 kg/m³

Geometry as Quantum ESPRESSO input:
```
&SYSTEM
  ibrav = 0, nat = 7, ntyp = 3
/
ATOMIC_SPECIES
La 138.91 La.upf
Dy 162.50 Dy.upf
Ho 164.93 Ho.upf
ATOMIC_POSITIONS crystal
La 0.000 0.000 0.000
Dy 0.180 0.500 0.680
Dy 0.253 0.253 0.000
Dy 0.500 0.000 0.500
Dy 0.747 0.747 0.000
Dy 0.820 0.500 0.320
Ho 0.500 0.500 0.000
CELL_PARAMETERS angstrom
-2.896 4.320 5.929
2.896 -4.320 5.929
2.896 4.320 -5.929
```



2) Computed, not measured: a relaxed LaDy5Ho crystal at the PBE level of DFT. Values from VASP.

theoretical density = 8100 kg/m³

Geometry as Quantum ESPRESSO input:
```
&SYSTEM
  ibrav = 0, nat = 14, ntyp = 3
/
ATOMIC_SPECIES
La 138.91 La.upf
Dy 162.50 Dy.upf
Ho 164.93 Ho.upf
ATOMIC_POSITIONS crystal
La 0.028 0.972 0.750
La 0.972 0.028 0.250
Dy 0.149 0.413 0.753
Dy 0.195 0.644 0.500
Dy 0.356 0.805 0.000
Dy 0.407 0.593 0.250
Dy 0.413 0.149 0.253
Dy 0.587 0.851 0.747
Dy 0.593 0.407 0.750
Dy 0.644 0.195 0.000
Dy 0.805 0.356 0.500
Dy 0.851 0.587 0.247
Ho 0.000 0.500 0.000
Ho 0.500 0.000 0.500
CELL_PARAMETERS angstrom
5.869 -3.409 0.000
5.869 3.409 0.000
-4.275 0.000 11.438
```



Result of the stability comparison: 2) is the most stable of them.



1) Computed, not measured: a relaxed LaDy6Ho12 crystal at the PBE level of DFT. Values from VASP.

theoretical density = 8355 kg/m³

Geometry as Quantum ESPRESSO input:
```
&SYSTEM
  ibrav = 0, nat = 19, ntyp = 3
/
ATOMIC_SPECIES
La 138.91 La.upf
Dy 162.50 Dy.upf
Ho 164.93 Ho.upf
ATOMIC_POSITIONS crystal
La 0.000 0.000 0.000
Dy 0.091 0.685 0.257
Dy 0.257 0.091 0.685
Dy 0.315 0.743 0.909
Dy 0.685 0.257 0.091
Dy 0.743 0.909 0.315
Dy 0.909 0.315 0.743
Ho 0.009 0.213 0.354
Ho 0.213 0.354 0.009
Ho 0.228 0.455 0.565
Ho 0.354 0.009 0.213
Ho 0.435 0.772 0.545
Ho 0.455 0.565 0.228
Ho 0.545 0.435 0.772
Ho 0.565 0.228 0.455
Ho 0.646 0.991 0.787
Ho 0.772 0.545 0.435
Ho 0.787 0.646 0.991
Ho 0.991 0.787 0.646
CELL_PARAMETERS angstrom
5.933 3.425 5.042
-5.933 3.425 5.042
0.000 -6.851 5.042
```



2) Computed, not measured: a relaxed LaDy6Ho12 crystal at the PBE level of DFT. Values from VASP.

theoretical density = 7910 kg/m³

Geometry as Quantum ESPRESSO input:
```
&SYSTEM
  ibrav = 0, nat = 19, ntyp = 3
/
ATOMIC_SPECIES
La 138.91 La.upf
Dy 162.50 Dy.upf
Ho 164.93 Ho.upf
ATOMIC_POSITIONS crystal
La 0.000 0.000 0.000
Dy 0.254 0.685 0.685
Dy 0.315 0.315 0.746
Dy 0.315 0.746 0.315
Dy 0.685 0.254 0.685
Dy 0.685 0.685 0.254
Dy 0.746 0.315 0.315
Ho 0.110 0.500 0.890
Ho 0.110 0.890 0.500
Ho 0.161 0.375 0.375
Ho 0.375 0.161 0.375
Ho 0.375 0.375 0.161
Ho 0.500 0.110 0.890
Ho 0.500 0.890 0.110
Ho 0.625 0.625 0.839
Ho 0.625 0.839 0.625
Ho 0.839 0.625 0.625
Ho 0.890 0.110 0.500
Ho 0.890 0.500 0.110
CELL_PARAMETERS angstrom
7.533 4.349 3.303
-7.533 4.349 3.303
0.000 -8.698 3.303
```



Result of the stability comparison: 1) is the most stable of them.



1) Computed, not measured: a relaxed LaDyHoMg crystal at the PBE level of DFT. Values from VASP.

theoretical density = 6587 kg/m³

Geometry as Quantum ESPRESSO input:
```
&SYSTEM
  ibrav = 0, nat = 4, ntyp = 4
/
ATOMIC_SPECIES
La 138.91 La.upf
Dy 162.50 Dy.upf
Ho 164.93 Ho.upf
Mg 24.30 Mg.upf
ATOMIC_POSITIONS crystal
La 0.000 0.000 0.000
Dy 0.500 0.500 0.500
Ho 0.750 0.750 0.750
Mg 0.250 0.250 0.250
CELL_PARAMETERS angstrom
0.000 3.955 3.955
3.955 0.000 3.955
3.955 3.955 0.000
```



2) Computed, not measured: a relaxed LaDyHoMg crystal at the PBE level of DFT. Values from VASP.

theoretical density = 6629 kg/m³

Geometry as Quantum ESPRESSO input:
```
&SYSTEM
  ibrav = 0, nat = 4, ntyp = 4
/
ATOMIC_SPECIES
La 138.91 La.upf
Dy 162.50 Dy.upf
Ho 164.93 Ho.upf
Mg 24.30 Mg.upf
ATOMIC_POSITIONS crystal
La 0.000 0.000 0.000
Dy 0.500 0.500 0.718
Ho 0.500 0.500 0.281
Mg 0.000 0.000 0.498
CELL_PARAMETERS angstrom
3.707 0.000 0.000
0.000 3.707 0.000
0.000 0.000 8.946
```



Result of the stability comparison: 2) is the most stable of them.



1) Computed, not measured: a relaxed LaSmDyHo crystal at the PBE level of DFT. Values from VASP.

theoretical density = 7600 kg/m³

Geometry as Quantum ESPRESSO input:
```
&SYSTEM
  ibrav = 0, nat = 4, ntyp = 4
/
ATOMIC_SPECIES
La 138.91 La.upf
Sm 150.36 Sm.upf
Dy 162.50 Dy.upf
Ho 164.93 Ho.upf
ATOMIC_POSITIONS crystal
La 0.000 0.000 0.000
Sm 0.500 0.500 0.500
Dy 0.250 0.250 0.250
Ho 0.750 0.750 0.750
CELL_PARAMETERS angstrom
0.000 4.069 4.069
4.069 0.000 4.069
4.069 4.069 0.000
```



2) Computed, not measured: a relaxed LaSmDyHo crystal at the PBE level of DFT. Values from VASP.

theoretical density = 7636 kg/m³

Geometry as Quantum ESPRESSO input:
```
&SYSTEM
  ibrav = 0, nat = 4, ntyp = 4
/
ATOMIC_SPECIES
La 138.91 La.upf
Sm 150.36 Sm.upf
Dy 162.50 Dy.upf
Ho 164.93 Ho.upf
ATOMIC_POSITIONS crystal
La 0.000 0.000 0.000
Sm 0.500 0.500 0.734
Dy 0.500 0.000 0.248
Ho 0.000 0.000 0.506
CELL_PARAMETERS angstrom
5.750 0.000 0.000
0.000 3.424 0.000
-0.006 0.000 6.812
```



Result of the stability comparison: 1) is the most stable of them.